VASP calculation (PBE) on a relaxed Ti2FeGe3 crystal.

- DOS(E_F) (states/eV/atom) = 0.611
- space-group type = Immm, No. 71
- uncorrected energy (eV per atom) = -6.536

Cell lengths 3.9715, 5.2155, 5.7838 Å; angles 116.80, 110.08, 90.00 degrees
Closest atoms and distances in Å follow each position.
Sites, in units of the cell vectors:
Ti 0.3205 0.8205 0.6411  6 Ge 2.58-2.63
Ge 0.6471 0.6471 0.2942  2 Fe 2.43, 4 Ti 2.58-2.63
Fe 0.0000 0.5000 0.0000  6 Ge 2.43-2.61
Ti 0.6795 0.1795 0.3589  6 Ge 2.58-2.63
Ge 0.3529 0.3529 0.7058  2 Fe 2.43, 4 Ti 2.58-2.63
Ge 0.0000 0.0000 0.0000  2 Fe 2.61, 4 Ti 2.62